[1]
First-principles (PBE) data for Ta2VI after structural relaxation, as listed in the Alexandria database.

Formation energy from raw total energies in meV per atom: 968
Total magnetization in μB per cell: 3.74
Final energy in eV/atom: -7.63
Energy relative to the lowest polymorph listed for this composition in meV/atom: 113
Space group: No. 122

Lattice parameters (Å, degrees): 10.4588 10.4588 10.4588 157.96 157.96 31.36
Fractional coordinates of all 8 atoms:
Ta1 0.1201 0.6250 0.9951
Ta2 0.3750 0.3701 0.4951
Ta3 0.6299 0.1250 0.0049
Ta4 0.8750 0.8799 0.5049
V1 0.0000 0.0000 0.0000
V2 0.7500 0.2500 0.5000
I1 0.2500 0.7500 0.5000
I2 0.5000 0.5000 0.0000

=====

[2]
First-principles (PBE) data for Ag8BiS6 after structural relaxation, as listed in the Alexandria database.

Formation energy from raw total energies in meV per atom: -11
Total magnetization in μB per cell: 0.00
Final energy in eV/atom: -3.44
Energy relative to the lowest polymorph listed for this composition in meV/atom: 13
Space group: No. 148

Lattice parameters (Å, degrees): 7.9977 7.9977 7.9977 53.60 53.60 53.60
Fractional coordinates of all 15 atoms:
Ag1 0.0456 0.3741 0.7013
Ag2 0.1677 0.1677 0.1677
Ag3 0.2987 0.9544 0.6259
Ag4 0.3741 0.7013 0.0456
Ag5 0.6259 0.2987 0.9544
Ag6 0.7013 0.0456 0.3741
Ag7 0.8323 0.8323 0.8323
Ag8 0.9544 0.6259 0.2987
Bi1 0.5000 0.5000 0.5000
S1 0.0904 0.7657 0.4243
S2 0.2343 0.5757 0.9096
S3 0.4243 0.0904 0.7657
S4 0.5757 0.9096 0.2343
S5 0.7657 0.4243 0.0904
S6 0.9096 0.2343 0.5757

=====

[3]
First-principles (PBE) data for CaLa3Nd5 after structural relaxation, as listed in the Alexandria database.

Total magnetization in μB per cell: 0.00
Final energy in eV/atom: -4.44
Formation enthalpy at 0 K in kcal/mol of atoms: 1.8
Space group: No. 193

Lattice parameters (Å, degrees): 10.2349 10.2349 7.1956 90.00 90.00 120.00
Fractional coordinates of all 18 atoms:
Ca1 0.0000 0.0000 0.0000
Ca2 0.0000 0.0000 0.5000
La1 0.0000 0.3142 0.2500
La2 0.0000 0.6858 0.7500
La3 0.3142 0.0000 0.2500
La4 0.3142 0.3142 0.7500
La5 0.6858 0.0000 0.7500
La6 0.6858 0.6858 0.2500
Nd1 0.0000 0.3554 0.7500
Nd2 0.0000 0.6446 0.2500
Nd3 0.3333 0.6667 0.0000
Nd4 0.3333 0.6667 0.5000
Nd5 0.3554 0.0000 0.7500
Nd6 0.3554 0.3554 0.2500
Nd7 0.6446 0.0000 0.2500
Nd8 0.6446 0.6446 0.7500
Nd9 0.6667 0.3333 0.0000
Nd10 0.6667 0.3333 0.5000

=====

[4]
First-principles (PBE) data for AlTlCuS3 after structural relaxation, as listed in the Alexandria database.

Formation energy from raw total energies in meV per atom: -548
Total magnetization in μB per cell: 0.00
Final energy in eV/atom: -4.31
Space group: No. 11

Lattice parameters (Å, degrees): 8.4442 3.6324 9.0180 90.00 110.81 90.00
Fractional coordinates of all 12 atoms:
Al1 0.1616 0.2500 0.1361
Al2 0.8384 0.7500 0.8639
Tl1 0.2910 0.7500 0.7701
Tl2 0.7090 0.2500 0.2299
Cu1 0.4240 0.7500 0.4073
Cu2 0.5760 0.2500 0.5927
S1 0.0280 0.2500 0.8525
S2 0.2805 0.2500 0.4411
S3 0.3558 0.7500 0.1348
S4 0.6442 0.2500 0.8652
S5 0.7195 0.7500 0.5589
S6 0.9720 0.7500 0.1475

=====

[5]
First-principles (PBE) data for ErMgAg after structural relaxation, as listed in the Alexandria database.

Total magnetization in μB per cell: 0.00
Final energy in eV/atom: -3.17
Formation enthalpy at 0 K in kcal/mol of atoms: -3.8
Space group: No. 156

Lattice parameters (Å, degrees): 4.8830 4.8830 3.3555 90.00 90.00 120.00
Fractional coordinates of all 3 atoms:
Er1 0.0000 0.0000 0.0000
Mg1 0.3333 0.6667 0.5008
Ag1 0.6667 0.3333 0.4986